# 1
# PBE AcCd2In, relaxed
# symmetry: P4/mmm, No. 123
# formation energy from the elements: -18.0 kJ per mole of atoms
data_AcCd2In
_cell_length_a 3.896
_cell_length_b 3.896
_cell_length_c 7.621
_cell_angle_alpha 90.00
_cell_angle_beta 90.00
_cell_angle_gamma 90.00
_symmetry_space_group_name_H-M 'P 1'
_symmetry_Int_Tables_number 1
_symmetry_space_group_name_Hall 'P 1'
loop_
_atom_site_label
_atom_site_type_symbol
_atom_site_fract_x
_atom_site_fract_y
_atom_site_fract_z
Ac1 Ac 0.000 0.000 0.000
Cd1 Cd 0.500 0.500 0.287
Cd2 Cd 0.500 0.500 0.713
In1 In 0.000 0.000 0.500


# 2
# PBE Ac3Cd8In, relaxed
# symmetry: R3m, No. 160
# formation energy from the elements: -23.3 kJ per mole of atoms
data_Ac3Cd8In
_cell_length_a 10.685
_cell_length_b 10.685
_cell_length_c 10.685
_cell_angle_alpha 33.70
_cell_angle_beta 33.70
_cell_angle_gamma 33.70
_symmetry_space_group_name_H-M 'P 1'
_symmetry_Int_Tables_number 1
_symmetry_space_group_name_Hall 'P 1'
loop_
_atom_site_label
_atom_site_type_symbol
_atom_site_fract_x
_atom_site_fract_y
_atom_site_fract_z
Ac1 Ac 0.000 0.000 0.000
Ac2 Ac 0.127 0.127 0.127
Ac3 Ac 0.510 0.510 0.510
Cd1 Cd 0.066 0.066 0.566
Cd2 Cd 0.066 0.566 0.066
Cd3 Cd 0.068 0.565 0.565
Cd4 Cd 0.316 0.316 0.316
Cd5 Cd 0.565 0.068 0.565
Cd6 Cd 0.565 0.565 0.068
Cd7 Cd 0.566 0.066 0.066
Cd8 Cd 0.815 0.815 0.815
In1 In 0.631 0.631 0.631


# 3
# PBE Ac6CdIn3, relaxed
# symmetry: P2_1/c, No. 14
# energy above the most stable polymorph in this dataset: 108 kJ/mol of formula units
# formation energy from the elements: -16.3 kJ per mole of atoms
data_Ac6CdIn3
_cell_length_a 8.842
_cell_length_b 8.752
_cell_length_c 13.426
_cell_angle_alpha 90.00
_cell_angle_beta 130.58
_cell_angle_gamma 90.00
_symmetry_space_group_name_H-M 'P 1'
_symmetry_Int_Tables_number 1
_symmetry_space_group_name_Hall 'P 1'
loop_
_atom_site_label
_atom_site_type_symbol
_atom_site_fract_x
_atom_site_fract_y
_atom_site_fract_z
Ac1 Ac 0.004 0.092 0.250
Ac2 Ac 0.004 0.408 0.750
Ac3 Ac 0.228 0.662 0.066
Ac4 Ac 0.228 0.838 0.566
Ac5 Ac 0.407 0.158 0.064
Ac6 Ac 0.407 0.342 0.564
Ac7 Ac 0.593 0.658 0.436
Ac8 Ac 0.593 0.842 0.936
Ac9 Ac 0.772 0.162 0.434
Ac10 Ac 0.772 0.338 0.934
Ac11 Ac 0.996 0.592 0.250
Ac12 Ac 0.996 0.908 0.750
Cd1 Cd 0.500 0.000 0.500
Cd2 Cd 0.500 0.500 0.000
In1 In 0.000 0.000 0.000
In2 In 0.000 0.500 0.500
In3 In 0.299 0.160 0.746
In4 In 0.299 0.340 0.246
In5 In 0.701 0.660 0.754
In6 In 0.701 0.840 0.254


# 4
# PBE Ac3Cd7In4, relaxed
# symmetry: C2/m, No. 12
# formation energy from the elements: -33.1 kJ per mole of atoms
data_Ac3Cd7In4
_cell_length_a 9.338
_cell_length_b 9.338
_cell_length_c 10.592
_cell_angle_alpha 124.51
_cell_angle_beta 124.51
_cell_angle_gamma 30.93
_symmetry_space_group_name_H-M 'P 1'
_symmetry_Int_Tables_number 1
_symmetry_space_group_name_Hall 'P 1'
loop_
_atom_site_label
_atom_site_type_symbol
_atom_site_fract_x
_atom_site_fract_y
_atom_site_fract_z
Ac1 Ac 0.000 0.000 0.000
Ac2 Ac 0.297 0.297 0.298
Ac3 Ac 0.703 0.703 0.702
Cd1 Cd 0.000 0.000 0.500
Cd2 Cd 0.144 0.144 0.425
Cd3 Cd 0.347 0.347 0.984
Cd4 Cd 0.499 0.499 0.681
Cd5 Cd 0.501 0.501 0.319
Cd6 Cd 0.653 0.653 0.016
Cd7 Cd 0.856 0.856 0.575
In1 In 0.145 0.145 0.863
In2 In 0.346 0.346 0.712
In3 In 0.654 0.654 0.288
In4 In 0.855 0.855 0.137